[1]
AlRe3Cl: optimized geometry, GGA-PBE.

Geometry as POSCAR:
```
AlRe3Cl
1.0
-1.232 0.562 4.134
-1.214 -4.172 0.205
3.991 -1.096 1.339
Re Al Cl
3 1 1
direct
0.000 0.500 0.000 Re
0.000 0.000 0.500 Re
0.500 0.000 0.000 Re
0.500 0.500 0.500 Al
0.000 0.000 0.000 Cl
```

Density of states at the Fermi level in states/eV/cell: 5.68
Volume in A^3/atom: 16.5
Total moment in Bohr magnetons per cell: 0.000
Formation energy (no corrections) in meV/atom: 1641.5
ΔE to the lowest computed polymorph in eV/atom: 0.000


[2]
Al2ReCl: optimized geometry, GGA-PBE.

Geometry as POSCAR:
```
Al2ReCl
1.0
-0.418 2.862 3.403
-3.932 0.449 2.070
-0.522 -1.539 4.160
Re Al Cl
1 2 1
direct
0.750 0.750 0.750 Re
0.000 0.000 0.000 Al
0.250 0.250 0.250 Al
0.500 0.500 0.500 Cl
```

Density of states at the Fermi level in states/eV/cell: 1.49
Volume in A^3/atom: 15.7
Total moment in Bohr magnetons per cell: 0.000
Formation energy (no corrections) in meV/atom: 676.2
ΔE to the lowest computed polymorph in eV/atom: 0.974


[3]
Al2ReCl: optimized geometry, GGA-PBE.

Geometry as POSCAR:
```
Al2ReCl
1.0
2.954 -0.021 0.000
-1.126 2.731 0.000
0.000 0.000 8.130
Re Al Cl
1 2 1
direct
0.500 0.500 0.750 Re
0.000 0.000 0.988 Al
0.000 0.000 0.512 Al
0.500 0.500 0.250 Cl
```

Density of states at the Fermi level in states/eV/cell: 3.29
Volume in A^3/atom: 16.3
Total moment in Bohr magnetons per cell: 0.000
Formation energy (no corrections) in meV/atom: 101.5
ΔE to the lowest computed polymorph in eV/atom: 0.399


[4]
AlReCl2: optimized geometry, GGA-PBE.

Geometry as POSCAR:
```
AlReCl2
1.0
-0.382 -1.847 4.602
3.404 -2.333 -3.428
2.875 1.144 0.524
Re Al Cl
1 1 2
direct
0.000 0.500 0.500 Re
0.500 0.500 0.000 Al
0.000 0.000 0.000 Cl
0.500 0.000 0.500 Cl
```

Density of states at the Fermi level in states/eV/cell: 2.05
Volume in A^3/atom: 17.3
Total moment in Bohr magnetons per cell: 2.073
Formation energy (no corrections) in meV/atom: 564.8
ΔE to the lowest computed polymorph in eV/atom: 0.847


[5]
Al2ReCl: optimized geometry, GGA-PBE.

Geometry as POSCAR:
```
Al2ReCl
1.0
2.978 0.000 0.000
0.000 2.978 0.000
0.000 0.000 7.744
Re Al Cl
1 2 1
direct
0.500 0.500 0.771 Re
0.000 0.000 0.971 Al
0.500 0.500 0.210 Al
0.000 0.000 0.549 Cl
```

Density of states at the Fermi level in states/eV/cell: 2.66
Volume in A^3/atom: 17.2
Total moment in Bohr magnetons per cell: 0.000
Formation energy (no corrections) in meV/atom: 363.3
ΔE to the lowest computed polymorph in eV/atom: 0.661


[6]
AlReCl: optimized geometry, GGA-PBE.

Geometry as POSCAR:
```
AlReCl
1.0
2.933 0.000 0.000
-1.467 2.540 0.000
0.000 0.000 7.892
Re Al Cl
1 1 1
direct
0.333 0.667 0.765 Re
0.000 0.000 0.010 Al
0.667 0.333 0.225 Cl
```

Density of states at the Fermi level in states/eV/cell: 2.82
Volume in A^3/atom: 19.6
Total moment in Bohr magnetons per cell: 0.000
Formation energy (no corrections) in meV/atom: 79.4
ΔE to the lowest computed polymorph in eV/atom: 0.000


[7]
AlReCl2: optimized geometry, GGA-PBE.

Geometry as POSCAR:
```
AlReCl2
1.0
1.152 3.408 8.850
0.660 0.567 9.514
3.388 1.471 8.811
Re Al Cl
1 1 2
direct
0.000 0.000 0.000 Re
0.500 0.500 0.500 Al
0.920 0.920 0.920 Cl
0.080 0.080 0.080 Cl
```

Density of states at the Fermi level in states/eV/cell: 1.92
Volume in A^3/atom: 17.8
Total moment in Bohr magnetons per cell: 0.000
Formation energy (no corrections) in meV/atom: 180.3
ΔE to the lowest computed polymorph in eV/atom: 0.463


[8]
AlReCl2: optimized geometry, GGA-PBE.

Geometry as POSCAR:
```
AlReCl2
1.0
-0.678 2.772 1.450
0.855 -2.678 1.530
9.150 2.563 -0.624
Re Al Cl
1 1 2
direct
0.000 0.000 0.517 Re
0.500 0.500 0.735 Al
0.000 0.000 0.925 Cl
0.500 0.500 0.322 Cl
```

Density of states at the Fermi level in states/eV/cell: 1.27
Volume in A^3/atom: 20.1
Total moment in Bohr magnetons per cell: 0.000
Formation energy (no corrections) in meV/atom: -105.9
ΔE to the lowest computed polymorph in eV/atom: 0.177


[9]
AlReCl2: optimized geometry, GGA-PBE.

Geometry as POSCAR:
```
AlReCl2
1.0
-2.611 -1.207 -0.820
1.222 0.057 -3.974
2.355 -5.532 0.644
Re Al Cl
1 1 2
direct
0.500 0.500 0.250 Re
0.500 0.500 0.750 Al
0.000 0.000 0.012 Cl
0.000 0.000 0.488 Cl
```

Density of states at the Fermi level in states/eV/cell: 2.89
Volume in A^3/atom: 18.8
Total moment in Bohr magnetons per cell: 2.992
Formation energy (no corrections) in meV/atom: 989.6
ΔE to the lowest computed polymorph in eV/atom: 1.272


[10]
AlReCl2: optimized geometry, GGA-PBE.

Geometry as POSCAR:
```
AlReCl2
1.0
4.318 0.000 0.000
0.000 4.154 0.000
0.000 0.000 4.154
Re Al Cl
1 1 2
direct
0.500 0.500 0.000 Re
0.500 0.000 0.500 Al
0.000 0.000 0.000 Cl
0.000 0.500 0.500 Cl
```

Density of states at the Fermi level in states/eV/cell: 2.27
Volume in A^3/atom: 18.6
Total moment in Bohr magnetons per cell: 2.772
Formation energy (no corrections) in meV/atom: 1010.1
ΔE to the lowest computed polymorph in eV/atom: 1.293


[11]
AlReCl2: optimized geometry, GGA-PBE.

Geometry as POSCAR:
```
AlReCl2
1.0
7.692 0.030 0.003
5.903 4.932 -0.003
-6.508 -3.274 2.469
Re Al Cl
1 1 2
direct
0.250 0.750 0.500 Re
0.750 0.250 0.500 Al
0.112 0.112 0.000 Cl
0.388 0.388 0.000 Cl
```

Density of states at the Fermi level in states/eV/cell: 2.47
Volume in A^3/atom: 23.3
Total moment in Bohr magnetons per cell: 0.000
Formation energy (no corrections) in meV/atom: -17.0
ΔE to the lowest computed polymorph in eV/atom: 0.266


[12]
AlReCl2: optimized geometry, GGA-PBE.

Geometry as POSCAR:
```
AlReCl2
1.0
4.924 -0.022 -0.006
4.001 2.870 -0.006
2.153 0.687 7.110
Re Al Cl
1 1 2
direct
0.460 0.460 0.365 Re
0.174 0.174 0.397 Al
0.008 0.008 0.101 Cl
0.858 0.858 0.636 Cl
```

Density of states at the Fermi level in states/eV/cell: 3.41
Volume in A^3/atom: 25.3
Total moment in Bohr magnetons per cell: 0.000
Formation energy (no corrections) in meV/atom: 35.4
ΔE to the lowest computed polymorph in eV/atom: 0.318


[13]
AlReCl2: optimized geometry, GGA-PBE.

Geometry as POSCAR:
```
AlReCl2
1.0
1.746 0.000 10.685
-0.873 1.512 10.685
-0.873 -1.512 10.685
Re Al Cl
1 1 2
direct
0.500 0.500 0.500 Re
0.000 0.000 0.000 Al
0.889 0.889 0.889 Cl
0.111 0.111 0.111 Cl
```

Density of states at the Fermi level in states/eV/cell: 3.70
Volume in A^3/atom: 21.2
Total moment in Bohr magnetons per cell: 0.224
Formation energy (no corrections) in meV/atom: 485.2
ΔE to the lowest computed polymorph in eV/atom: 0.768


[14]
Al2ReCl: optimized geometry, GGA-PBE.

Geometry as POSCAR:
```
Al2ReCl
1.0
-0.900 -4.268 -2.405
1.382 -3.929 2.732
-3.040 3.944 0.097
Re Al Cl
1 2 1
direct
0.750 0.250 0.500 Re
0.001 0.001 0.000 Al
0.499 0.499 0.000 Al
0.250 0.750 0.500 Cl
```

Density of states at the Fermi level in states/eV/cell: 1.83
Volume in A^3/atom: 15.4
Total moment in Bohr magnetons per cell: 0.000
Formation energy (no corrections) in meV/atom: 418.2
ΔE to the lowest computed polymorph in eV/atom: 0.716


[15]
AlReCl: optimized geometry, GGA-PBE.

Geometry as POSCAR:
```
AlReCl
1.0
-3.363 0.026 2.778
0.532 -1.445 4.081
-0.053 2.812 3.334
Re Al Cl
1 1 1
direct
0.750 0.750 0.750 Re
0.000 0.000 0.000 Al
0.500 0.500 0.500 Cl
```

Density of states at the Fermi level in states/eV/cell: 2.79
Volume in A^3/atom: 19.6
Total moment in Bohr magnetons per cell: 2.293
Formation energy (no corrections) in meV/atom: 1113.0
ΔE to the lowest computed polymorph in eV/atom: 1.034


[16]
Al2ReCl: optimized geometry, GGA-PBE.

Geometry as POSCAR:
```
Al2ReCl
1.0
-1.001 -5.048 4.652
6.215 -2.663 -1.552
3.812 -2.226 3.578
Re Al Cl
2 4 2
direct
0.000 0.000 0.000 Re
0.750 0.250 0.500 Re
0.624 0.125 0.250 Al
0.126 0.625 0.250 Al
0.375 0.376 0.750 Al
0.875 0.874 0.750 Al
0.500 0.500 0.000 Cl
0.250 0.750 0.500 Cl
```

Density of states at the Fermi level in states/eV/cell: 4.90
Volume in A^3/atom: 17.3
Total moment in Bohr magnetons per cell: 0.000
Formation energy (no corrections) in meV/atom: 633.4
ΔE to the lowest computed polymorph in eV/atom: 0.931


[17]
Al2ReCl: optimized geometry, GGA-PBE.

Geometry as POSCAR:
```
Al2ReCl
1.0
5.158 -0.003 0.050
4.364 2.749 0.050
-0.488 -0.141 4.524
Re Al Cl
1 2 1
direct
0.719 0.719 0.838 Re
0.981 0.981 0.923 Al
0.279 0.279 0.341 Al
0.521 0.521 0.398 Cl
```

Density of states at the Fermi level in states/eV/cell: 1.76
Volume in A^3/atom: 16.1
Total moment in Bohr magnetons per cell: 0.000
Formation energy (no corrections) in meV/atom: 40.1
ΔE to the lowest computed polymorph in eV/atom: 0.338


[18]
AlReCl2: optimized geometry, GGA-PBE.

Geometry as POSCAR:
```
AlReCl2
1.0
1.189 -3.658 -2.328
-2.854 -3.455 -0.370
-1.957 -0.886 -3.949
Re Al Cl
1 1 2
direct
0.500 0.500 0.500 Re
0.000 0.000 0.000 Al
0.250 0.250 0.250 Cl
0.750 0.750 0.750 Cl
```

Density of states at the Fermi level in states/eV/cell: 2.61
Volume in A^3/atom: 16.1
Total moment in Bohr magnetons per cell: 0.000
Formation energy (no corrections) in meV/atom: 1018.9
ΔE to the lowest computed polymorph in eV/atom: 1.302


[19]
AlReCl2: optimized geometry, GGA-PBE.

Geometry as POSCAR:
```
AlReCl2
1.0
3.018 0.000 0.000
0.000 3.018 0.000
0.000 0.000 8.755
Re Al Cl
1 1 2
direct
0.500 0.500 0.250 Re
0.500 0.500 0.750 Al
0.000 0.000 0.079 Cl
0.000 0.000 0.421 Cl
```

Density of states at the Fermi level in states/eV/cell: 3.82
Volume in A^3/atom: 19.9
Total moment in Bohr magnetons per cell: 0.468
Formation energy (no corrections) in meV/atom: 866.7
ΔE to the lowest computed polymorph in eV/atom: 1.149


[20]
AlReCl2: optimized geometry, GGA-PBE.

Geometry as POSCAR:
```
AlReCl2
1.0
2.979 0.000 0.000
0.000 2.979 0.000
0.000 0.000 8.644
Re Al Cl
1 1 2
direct
0.000 0.000 0.523 Re
0.500 0.500 0.718 Al
0.000 0.000 0.918 Cl
0.500 0.500 0.340 Cl
```

Density of states at the Fermi level in states/eV/cell: 1.34
Volume in A^3/atom: 19.2
Total moment in Bohr magnetons per cell: 0.000
Formation energy (no corrections) in meV/atom: 27.8
ΔE to the lowest computed polymorph in eV/atom: 0.310


[21]
AlReCl4: optimized geometry, GGA-PBE.

Geometry as POSCAR:
```
AlReCl4
1.0
0.319 -5.843 1.239
1.458 -1.814 5.510
-4.128 -2.545 3.502
Al Re Cl
1 1 4
direct
0.000 0.000 0.000 Al
0.750 0.750 0.750 Re
0.873 0.376 0.376 Cl
0.376 0.376 0.873 Cl
0.376 0.873 0.376 Cl
0.376 0.376 0.376 Cl
```

Density of states at the Fermi level in states/eV/cell: 1.66
Volume in A^3/atom: 25.2
Total moment in Bohr magnetons per cell: 3.968
Formation energy (no corrections) in meV/atom: 1247.4


[22]
AlReCl2: optimized geometry, GGA-PBE.

Geometry as POSCAR:
```
AlReCl2
1.0
-2.030 0.674 -2.166
1.065 -3.209 -1.997
-4.461 -6.341 2.207
Re Al Cl
1 1 2
direct
0.000 0.236 0.581 Re
0.500 0.670 0.685 Al
0.000 0.201 0.896 Cl
0.500 0.392 0.338 Cl
```

Density of states at the Fermi level in states/eV/cell: 1.42
Volume in A^3/atom: 22.5
Total moment in Bohr magnetons per cell: 0.000
Formation energy (no corrections) in meV/atom: -228.9
ΔE to the lowest computed polymorph in eV/atom: 0.054


[23]
Al2ReCl: optimized geometry, GGA-PBE.

Geometry as POSCAR:
```
Al2ReCl
1.0
2.968 0.000 0.000
0.000 3.234 -0.001
0.000 0.004 7.271
Re Al Cl
1 2 1
direct
0.500 0.750 0.750 Re
0.000 0.250 0.946 Al
0.000 0.250 0.554 Al
0.500 0.250 0.250 Cl
```

Density of states at the Fermi level in states/eV/cell: 1.26
Volume in A^3/atom: 17.4
Total moment in Bohr magnetons per cell: 0.000
Formation energy (no corrections) in meV/atom: -297.5
ΔE to the lowest computed polymorph in eV/atom: 0.000


[24]
AlReSnCl2: optimized geometry, GGA-PBE.

Geometry as POSCAR:
```
AlReSnCl2
1.0
-2.149 -4.153 0.678
0.343 -1.073 -5.487
4.198 -2.063 0.666
Re Al Sn Cl
1 1 1 2
direct
0.000 0.000 0.000 Re
0.500 0.500 0.500 Al
0.000 0.500 0.000 Sn
0.000 0.000 0.500 Cl
0.500 0.000 0.000 Cl
```

Density of states at the Fermi level in states/eV/cell: 3.24
Volume in A^3/atom: 25.0
Total moment in Bohr magnetons per cell: 1.864
Formation energy (no corrections) in meV/atom: 466.7


[25]
AlReTcCl2: optimized geometry, GGA-PBE.

Geometry as POSCAR:
```
AlReTcCl2
1.0
-2.969 -3.583 -0.323
1.264 -1.431 4.256
-3.583 2.788 2.002
Re Al Tc Cl
1 1 1 2
direct
0.000 0.000 0.500 Re
0.500 0.500 0.500 Al
0.000 0.000 0.000 Tc
0.000 0.500 0.000 Cl
0.500 0.000 0.000 Cl
```

Density of states at the Fermi level in states/eV/cell: 5.18
Volume in A^3/atom: 21.6
Total moment in Bohr magnetons per cell: 0.956
Formation energy (no corrections) in meV/atom: 987.8


[26]
Y2AlReCl: optimized geometry, GGA-PBE.

Geometry as POSCAR:
```
Y2AlReCl
1.0
-0.122 -0.730 5.039
-0.431 -4.338 -0.639
5.067 -0.511 0.048
Y Re Al Cl
2 1 1 1
direct
0.000 0.000 0.500 Y
0.500 0.000 0.000 Y
0.000 0.500 0.000 Re
0.500 0.500 0.500 Al
0.000 0.000 0.000 Cl
```

Density of states at the Fermi level in states/eV/cell: 5.09
Volume in A^3/atom: 22.9
Total moment in Bohr magnetons per cell: 0.000
Formation energy (no corrections) in meV/atom: 241.6


[27]
AlRhCl: optimized geometry, GGA-PBE.

Geometry as POSCAR:
```
AlRhCl
1.0
4.254 0.000 0.000
-2.127 3.684 0.000
0.000 0.000 3.009
Rh Al Cl
1 1 1
direct
0.667 0.333 0.500 Rh
0.000 0.000 0.000 Al
0.333 0.667 0.500 Cl
```

Density of states at the Fermi level in states/eV/cell: 1.14
Volume in A^3/atom: 15.7
Total moment in Bohr magnetons per cell: 0.000
Formation energy (no corrections) in meV/atom: -56.6
ΔE to the lowest computed polymorph in eV/atom: 0.489


[28]
Al2RhCl: optimized geometry, GGA-PBE.

Geometry as POSCAR:
```
Al2RhCl
1.0
2.929 0.000 0.000
0.000 4.695 0.000
0.000 0.000 4.720
Rh Al Cl
1 2 1
direct
0.000 0.500 0.500 Rh
0.000 0.000 0.000 Al
0.500 0.500 0.000 Al
0.500 0.000 0.500 Cl
```

Density of states at the Fermi level in states/eV/cell: 2.48
Volume in A^3/atom: 16.2
Total moment in Bohr magnetons per cell: 0.000
Formation energy (no corrections) in meV/atom: 86.5
ΔE to the lowest computed polymorph in eV/atom: 0.894


[29]
Al2RhCl: optimized geometry, GGA-PBE.

Geometry as POSCAR:
```
Al2RhCl
1.0
-2.522 -2.461 4.089
-2.970 -4.162 1.731
3.275 -2.762 1.370
Rh Al Cl
1 2 1
direct
0.250 0.250 0.250 Rh
0.952 0.952 0.018 Al
0.548 0.548 0.482 Al
0.750 0.750 0.750 Cl
```

Density of states at the Fermi level in states/eV/cell: 1.94
Volume in A^3/atom: 16.9
Total moment in Bohr magnetons per cell: 0.000
Formation energy (no corrections) in meV/atom: -50.3
ΔE to the lowest computed polymorph in eV/atom: 0.757


[30]
Al2RhCl: optimized geometry, GGA-PBE.

Geometry as POSCAR:
```
Al2RhCl
1.0
7.391 -0.017 -0.012
6.780 2.943 -0.012
0.004 0.001 3.123
Rh Al Cl
1 2 1
direct
0.314 0.314 0.000 Rh
0.912 0.912 0.500 Al
0.717 0.717 0.499 Al
0.557 0.557 0.501 Cl
```

Density of states at the Fermi level in states/eV/cell: 1.21
Volume in A^3/atom: 17.1
Total moment in Bohr magnetons per cell: 0.000
Formation energy (no corrections) in meV/atom: -807.2
ΔE to the lowest computed polymorph in eV/atom: 0.000